The following is a GGA-PBE calculation of Ba2LaAg2 after structural relaxation, from Alexandria via LeMat-Bulk.

## Properties
ΔE_f	0.052	eV/atom
energy above the most stable polymorph in this dataset	169.5	meV per atom
calculated total energy	-2.84	eV/atom
density	6.08	g/cm3

Cell lengths 9.532, 9.532, 3.784 Å; angles 90.00, 90.00, 90.00 degrees
Space group P4/mbm (No. 127)
Inequivalent atoms, fractional coordinates:
Ba: 0.137 0.363 0.000 (multiplicity 4)
La: 0.000 0.000 0.000 (multiplicity 2)
Ag: 0.166 0.666 0.500 (multiplicity 4)